Arrangement w

12
Lattice="3.927 0.000 0.000 -1.964 3.401 0.000 0.000 0.000 18.641" Properties=species:S:1:pos:R:3 comment="AlOsSe (PBE-GGA, relaxed)" space_group="No. 164" crystal_system=trigonal pbc="T T T"
Os 1.964 1.134 0.504
Os 0.000 2.268 18.137
Os 0.000 2.268 15.282
Os 1.964 1.134 3.359
Al 1.964 1.134 6.325
Al 1.964 1.134 16.666
Al 0.000 2.268 1.975
Al 0.000 2.268 12.316
Se 1.964 1.134 11.113
Se 0.000 2.268 7.528
Se 0.000 2.268 4.392
Se 1.964 1.134 14.249



Arrangement x

3
Lattice="4.227 0.000 0.000 2.113 3.660 0.000 2.113 1.220 3.451" Properties=species:S:1:pos:R:3 comment="AlOsSe (PBE-GGA, relaxed)" space_group="No. 216" crystal_system=cubic pbc="T T T"
Os 2.113 1.220 0.863
Al 4.227 2.440 1.725
Se 0.000 0.000 0.000



It is arrangement w that is the most stable of them.



Arrangement w

3
Lattice="-2.382 5.363 -3.519 -4.674 3.899 -2.448 0.766 2.429 1.433" Properties=species:S:1:pos:R:3 comment="AlOsSe (PBE-GGA, relaxed)" space_group="No. 42" crystal_system=orthorhombic pbc="T T T"
Os -1.894 4.752 -1.083
Al -6.983 9.198 -5.898
Se -4.468 7.001 -3.519



Arrangement x

3
Lattice="-0.200 5.134 3.034 1.084 1.982 5.523 1.559 -3.165 -4.813" Properties=species:S:1:pos:R:3 comment="AlOsSe (PBE-GGA, relaxed)" space_group="No. 107" crystal_system=tetragonal pbc="T T T"
Os 0.297 2.392 2.876
Al 0.862 6.939 8.345
Se 0.609 4.901 5.894



It is arrangement x that is the most stable of them.